Below is NaSi2GeS6 after structural relaxation, with properties calculated at the GGA-PBE level.

a b c (Å): 8.6430 8.6430 6.5425
angles (deg): 102.94 102.94 88.11
Atoms (fractional coordinates):
Na  0.1174  0.8826  0.7500
Na  0.8826  0.1174  0.2500
Si  0.2142  0.3740  0.7796
Si  0.3740  0.2142  0.2796
Si  0.6260  0.7858  0.7204
Si  0.7858  0.6260  0.2204
Ge  0.2322  0.7678  0.2500
Ge  0.7678  0.2322  0.7500
S  0.0313  0.1941  0.6739
S  0.1210  0.5983  0.8844
S  0.1941  0.0313  0.1739
S  0.3048  0.4141  0.5064
S  0.4017  0.8790  0.6156
S  0.4141  0.3048  0.0064
S  0.5859  0.6952  0.9936
S  0.5983  0.1210  0.3844
S  0.6952  0.5859  0.4936
S  0.8059  0.9687  0.8261
S  0.8790  0.4017  0.1156
S  0.9687  0.8059  0.3261

Properties
SG ... C2/c (15)
Formation energy without anion corrections ... -0.52 eV per atom
Total DFT energy (no corrections) ... -93.5 eV/cell
D(E_F) ... 4.0 states/eV/f.u.
Mass density ... 2.46 g/cm3


Below is Na4Sm3GeS8 after structural relaxation, with properties calculated at the GGA-PBE level.

a b c (Å): 8.1277 8.1277 8.1277
angles (deg): 59.10 59.10 59.10
Atoms (fractional coordinates):
Na  0.0000  0.0000  0.0000
Na  0.0000  0.5000  0.5000
Na  0.5000  0.0000  0.5000
Na  0.5000  0.5000  0.0000
Sm  0.0000  0.0000  0.5000
Sm  0.0000  0.5000  0.0000
Sm  0.5000  0.0000  0.0000
Ge  0.5000  0.5000  0.5000
S  0.2445  0.2445  0.2445
S  0.2585  0.7324  0.7324
S  0.2676  0.2676  0.7415
S  0.2676  0.7415  0.2676
S  0.7324  0.2585  0.7324
S  0.7324  0.7324  0.2585
S  0.7415  0.2676  0.2676
S  0.7555  0.7555  0.7555

Properties
SG ... R-3m (166)
Formation energy without anion corrections ... -1.48 eV per atom
Total DFT energy (no corrections) ... -80.7 eV/cell
D(E_F) ... 1.5 states/eV/f.u.
Mass density ... 3.90 g/cm3